(1)
First-principles (GGA+U) data for a relaxed NiAu2F8 crystal, as listed in the Alexandria database.

Unit cell a=5.5718 b=5.6574 c=11.0172 alpha=90.00 beta=109.52 gamma=90.00
Last column: nearest neighbours and their distance in Å.
Space group P2_1/c (No. 14)
Inequivalent atoms, fractional coordinates:
Ni 0.0000 0.0000 0.0000 [2 per cell]  6 F 2.01-2.05
Au 0.3653 0.2237 0.3287 [4 per cell]  4 F 1.94-2.00
F 0.0630 0.1272 0.1824 [4 per cell]  1 Au 1.98, 1 Ni 2.05
F 0.1586 0.2167 0.4461 [4 per cell]  1 Au 2.00, 1 Ni 2.01
F 0.3289 0.6853 0.5258 [4 per cell]  1 Au 1.98, 1 Ni 2.05
F 0.4328 0.7224 0.2846 [4 per cell]  1 Au 1.94

Properties
polymorph energy (0 for the lowest one) = 0.000 eV per atom
E_tot = -3.53 eV per atom

(2)
First-principles (GGA+U) data for a relaxed Tc2WF crystal, as listed in the Alexandria database.

Unit cell a=6.5856 b=6.5856 c=5.3348 alpha=90.00 beta=90.00 gamma=90.00
Last column: nearest neighbours and their distance in Å.
Space group I-42d (No. 122)
Inequivalent atoms, fractional coordinates:
Tc 0.2012 0.7500 0.1250 [8 per cell]  2 F 2.22
W 0.0000 0.0000 0.5000 [4 per cell]  8 Tc 2.65-2.91, 2 F 2.67
F 0.0000 0.0000 0.0000 [4 per cell]  4 Tc 2.22

Properties
polymorph energy (0 for the lowest one) = 0.079 eV per atom
N(E_F) = 21.08 states/eV/cell
E_tot = -6.85 eV per atom